A plane-wave DFT calculation with PBE-GGA was carried out for a relaxed Na3Sr6Tl crystal.

Size of the total moment: 0.0 μB/cell
ΔE to the lowest computed polymorph: 0.00 eV per formula unit
Theoretical density: 2.963 g cm⁻³
E: -1.698 eV/atom

Lattice parameters (Å, degrees): 10.843 6.292 13.804 90.00 108.03 90.00
Space group P2_1/m (No. 11)
Symmetry-distinct sites (fractional):
1 Na 0.026 0.250 0.387 (multiplicity 2)
2 Na 0.103 0.750 0.230 (multiplicity 2)
3 Na 0.267 0.250 0.972 (multiplicity 2)
4 Sr 0.021 0.750 0.905 (multiplicity 2)
5 Sr 0.182 0.250 0.673 (multiplicity 2)
6 Sr 0.286 0.750 0.509 (multiplicity 2)
7 Sr 0.355 0.250 0.333 (multiplicity 2)
8 Sr 0.374 0.750 0.833 (multiplicity 2)
9 Sr 0.387 0.750 0.142 (multiplicity 2)
10 Tl 0.456 0.250 0.606 (multiplicity 2)